VASP calculation (GGA-PBE) on a geometry-optimized CrTeBr structure. Values from VASP.

Geometry as Quantum ESPRESSO input:
```
&SYSTEM
  ibrav = 0, nat = 3, ntyp = 3
/
ATOMIC_SPECIES
Br 79.90 Br.upf
Cr 52.00 Cr.upf
Te 127.60 Te.upf
ATOMIC_POSITIONS crystal
Br 0.9567 0.9567 0.0000
Cr 0.3296 0.3296 0.0000
Te 0.7137 0.7137 0.0000
CELL_PARAMETERS angstrom
-1.6713 -6.5532 -2.5405
2.4780 -6.7842 -0.1594
-1.5911 6.1874 3.3730
```

Summary:
Space-group type ... I4mm
Energy ... -4.862 eV per atom
ΔE_f (raw) ... -4.75 kJ per mole of atoms